No. 1
Material: Tl2AgAu
Method: DFT, meta-GGA SCAN
State: PBEsol geometry Values from VASP.

Geometry as Quantum ESPRESSO input:
```
&SYSTEM
  ibrav = 0, nat = 4, ntyp = 3
/
ATOMIC_SPECIES
Au 196.97 Au.upf
Ag 107.87 Ag.upf
Tl 204.38 Tl.upf
CELL_PARAMETERS angstrom
-2.611 -0.846 1.976
1.994 -2.115 1.729
1.841 5.731 4.887
ATOMIC_POSITIONS crystal
Au 0.500 0.500 0.719
Ag 0.000 0.000 0.532
Tl 0.000 0.000 0.958
Tl 0.500 0.500 0.291
```

Results
Offset from the most stable computed form, kJ/mol of formula units: 1
DFT formation energy, eV/f.u.: 0.12
VASP energy, eV per atom: -61.28
Symmetry: P4mm, No. 99



No. 2
Material: ErZnAsO
Method: DFT, meta-GGA SCAN
State: PBEsol geometry Values from VASP.

Geometry as Quantum ESPRESSO input:
```
&SYSTEM
  ibrav = 0, nat = 8, ntyp = 4
/
ATOMIC_SPECIES
O 16.00 O.upf
Er 167.26 Er.upf
As 74.92 As.upf
Zn 65.41 Zn.upf
CELL_PARAMETERS angstrom
-1.481 -2.477 2.590
3.047 0.604 2.320
-4.240 6.570 3.860
ATOMIC_POSITIONS crystal
O 0.500 0.500 0.000
Er 0.500 0.000 0.122
Er 0.000 0.500 0.878
As 0.500 0.000 0.687
As 0.000 0.500 0.313
O 0.000 0.000 0.000
Zn 0.500 0.500 0.500
Zn 0.000 0.000 0.500
```

Results
VASP energy, eV per atom: -24.60
Formation energy (no corrections), eV/atom: -2.03
Symmetry: P4/nmm, No. 129



No. 3
Material: SrIn4Pb
Method: DFT, meta-GGA SCAN
State: PBEsol geometry Values from VASP.

Geometry as Quantum ESPRESSO input:
```
&SYSTEM
  ibrav = 0, nat = 6, ntyp = 3
/
ATOMIC_SPECIES
In 114.82 In.upf
Pb 207.20 Pb.upf
Sr 87.62 Sr.upf
CELL_PARAMETERS angstrom
6.170 0.000 0.000
3.085 5.344 0.000
3.085 1.781 5.038
ATOMIC_POSITIONS crystal
In 0.874 0.375 0.375
In 0.375 0.874 0.375
In 0.375 0.375 0.375
Pb 0.750 0.750 0.750
In 0.375 0.375 0.874
Sr 0.000 0.000 0.000
```

Results
DFT formation energy, eV/f.u.: -1.35
VASP energy, eV per atom: -38.83
Symmetry: F-43m, No. 216



No. 4
Material: ZrGeO2
Method: DFT, meta-GGA SCAN
State: PBEsol geometry Values from VASP.

Geometry as Quantum ESPRESSO input:
```
&SYSTEM
  ibrav = 0, nat = 4, ntyp = 3
/
ATOMIC_SPECIES
Zr 91.22 Zr.upf
O 16.00 O.upf
Ge 72.64 Ge.upf
CELL_PARAMETERS angstrom
3.318 0.000 0.000
1.659 2.873 0.000
1.659 0.958 6.509
ATOMIC_POSITIONS crystal
Zr 0.000 0.000 0.000
O 0.102 0.102 0.693
O 0.898 0.898 0.307
Ge 0.500 0.500 0.500
```

Results
VASP energy, eV per atom: -16.85
Formation energy (no corrections), eV/atom: -1.28
Symmetry: R-3m, No. 166



Among the records above, which one has the lowest VASP energy?
Tl2AgAu